{
  "formula": "RbNiF3",
  "functional": "PBE+U",
  "state": "relaxed",
  "lattice_angstrom": [[5.926, 0.000, 0.000], [-2.963, 5.132, 0.000], [0.000, 0.000, 14.491]],
  "species": ["Rb", "Rb", "Rb", "Rb", "Rb", "Rb", "Ni", "Ni", "Ni", "Ni", "Ni", "Ni", "F", "F", "F", "F", "F", "F", "F", "F", "F", "F", "F", "F", "F", "F", "F", "F", "F", "F"],
  "fractional_positions": [[0.000, 0.000, 0.250], [0.000, 0.000, 0.750], [0.333, 0.667, 0.094], [0.333, 0.667, 0.406], [0.667, 0.333, 0.594], [0.667, 0.333, 0.906], [0.000, 0.000, 0.000], [0.000, 0.000, 0.500], [0.333, 0.667, 0.655], [0.333, 0.667, 0.845], [0.667, 0.333, 0.155], [0.667, 0.333, 0.345], [0.036, 0.518, 0.750], [0.166, 0.332, 0.580], [0.166, 0.332, 0.920], [0.166, 0.834, 0.580], [0.166, 0.834, 0.920], [0.332, 0.166, 0.080], [0.332, 0.166, 0.420], [0.482, 0.518, 0.750], [0.482, 0.964, 0.750], [0.518, 0.036, 0.250], [0.518, 0.482, 0.250], [0.668, 0.834, 0.580], [0.668, 0.834, 0.920], [0.834, 0.166, 0.080], [0.834, 0.166, 0.420], [0.834, 0.668, 0.080], [0.834, 0.668, 0.420], [0.964, 0.482, 0.250]],
  "crystal_system": "hexagonal",
  "total_magnetization_mub_per_fu": 2.00,
  "total_energy_ev_per_cell": -128.414,
  "mass_density_g_cm3": 4.548
}